## w
RbTl2Os GGA-PBE relaxed; calculated density = 6.28 g cm⁻³
1.0
-3.3982 3.3982 7.8410
3.3982 -3.3982 7.8410
3.3982 3.3982 -7.8410
Rb Tl Os
2 4 2
Cartesian
3.3982 1.6991 1.9603
0.0000 1.6991 5.8808
0.0000 0.0000 0.0000
1.6991 1.6991 -3.9205
1.6991 -1.6991 3.9205
0.0000 3.3982 0.0000
3.3982 -1.6991 5.8808
0.0000 5.0973 1.9603



## x
RbTl2Os GGA-PBE relaxed; calculated density = 11.01 g cm⁻³
1.0
0.0000 3.7228 3.7228
3.7228 0.0000 3.7228
3.7228 3.7228 0.0000
Rb Tl Os
1 2 1
Cartesian
0.0000 0.0000 0.0000
1.8614 1.8614 1.8614
5.5842 5.5842 5.5842
3.7228 3.7228 3.7228



The calculated energies rank the structures as follows, beginning with the most stable: w, x.